This record from Alexandria describes a geometry-optimized ThZr2Zn structure. The functional is GGA-PBE.

Computed properties:
density = 8.581 g cm⁻³
energy of formation = 0.2 kJ per mole of atoms
excess energy over the best structure of this formula in the dataset = 60 meV/atom
spin magnetization = 0.0 Bohr magnetons per cell

Lattice parameters (Å, degrees): 5.083 5.083 5.083 60.00 60.00 60.00
Fractional coordinates of all 4 atoms:
Th (0.000, 0.000, 0.000)
Zr (0.500, 0.500, 0.500)
Zr (0.750, 0.750, 0.750)
Zn (0.250, 0.250, 0.250)